i.
# ScCo2Cl, relaxed, DFT GGA-PBE
data_ScCo2Cl
_space_group_name_H-M_alt 'P 1'
_space_group_IT_number 1
_cell_length_a 5.7270
_cell_length_b 5.7270
_cell_length_c 5.7270
_cell_angle_alpha 144.65
_cell_angle_beta 144.65
_cell_angle_gamma 50.86
loop_
_space_group_symop_operation_xyz
'x,y,z'
loop_
_atom_site_label
_atom_site_type_symbol
_atom_site_fract_x
_atom_site_fract_y
_atom_site_fract_z
Co1 Co 0.5000 0.5000 0.0000
Cl1 Cl 0.7500 0.2500 0.5000
Co2 Co 0.0000 0.0000 0.0000
Sc1 Sc 0.2500 0.7500 0.5000
# Space group: I4/mmm
# Theoretical density: 5.3 g cm⁻³



ii.
# ScCo2Cl, relaxed, DFT GGA-PBE
data_ScCo2Cl
_space_group_name_H-M_alt 'P 1'
_space_group_IT_number 1
_cell_length_a 5.1269
_cell_length_b 5.1269
_cell_length_c 4.0986
_cell_angle_alpha 92.56
_cell_angle_beta 92.56
_cell_angle_gamma 34.92
loop_
_space_group_symop_operation_xyz
'x,y,z'
loop_
_atom_site_label
_atom_site_type_symbol
_atom_site_fract_x
_atom_site_fract_y
_atom_site_fract_z
Co1 Co 0.4699 0.4699 0.5417
Cl1 Cl 0.2500 0.2500 0.2500
Co2 Co 0.0301 0.0301 0.9583
Sc1 Sc 0.7500 0.7500 0.7500
# Space group: C2/m
# Theoretical density: 5.3 g cm⁻³



iii.
# ScCo2Cl, relaxed, DFT GGA-PBE
data_ScCo2Cl
_space_group_name_H-M_alt 'P 1'
_space_group_IT_number 1
_cell_length_a 3.1392
_cell_length_b 3.1501
_cell_length_c 7.3664
_cell_angle_alpha 77.56
_cell_angle_beta 90.00
_cell_angle_gamma 90.00
loop_
_space_group_symop_operation_xyz
'x,y,z'
loop_
_atom_site_label
_atom_site_type_symbol
_atom_site_fract_x
_atom_site_fract_y
_atom_site_fract_z
Sc1 Sc 0.0000 0.5778 0.4695
Co1 Co 0.5000 0.1998 0.2259
Cl1 Cl 0.5000 0.9687 0.6855
Co2 Co 0.0000 0.7537 0.1191
# Space group: Pm
# Theoretical density: 4.6 g cm⁻³



The structure with the greatest stability is iii.



i.
# ScCo3Cl, relaxed, DFT GGA-PBE
data_ScCo3Cl
_space_group_name_H-M_alt 'P 1'
_space_group_IT_number 1
_cell_length_a 4.1404
_cell_length_b 4.1404
_cell_length_c 4.1404
_cell_angle_alpha 90.00
_cell_angle_beta 90.00
_cell_angle_gamma 90.00
loop_
_space_group_symop_operation_xyz
'x,y,z'
loop_
_atom_site_label
_atom_site_type_symbol
_atom_site_fract_x
_atom_site_fract_y
_atom_site_fract_z
Cl1 Cl 0.0000 0.0000 0.0000
Co1 Co 0.0000 0.0000 0.5000
Sc1 Sc 0.5000 0.5000 0.5000
Co2 Co 0.5000 0.0000 0.0000
Co3 Co 0.0000 0.5000 0.0000
# Space group: Pm-3m
# Theoretical density: 6.0 g cm⁻³



ii.
# ScCo3Cl, relaxed, DFT GGA-PBE
data_ScCo3Cl
_space_group_name_H-M_alt 'P 1'
_space_group_IT_number 1
_cell_length_a 4.6152
_cell_length_b 4.6152
_cell_length_c 4.6152
_cell_angle_alpha 90.00
_cell_angle_beta 90.00
_cell_angle_gamma 90.00
loop_
_space_group_symop_operation_xyz
'x,y,z'
loop_
_atom_site_label
_atom_site_type_symbol
_atom_site_fract_x
_atom_site_fract_y
_atom_site_fract_z
Cl1 Cl 0.5000 0.5000 0.5000
Co1 Co 0.5000 0.0000 0.0000
Co2 Co 0.0000 0.5000 0.0000
Co3 Co 0.0000 0.0000 0.5000
Sc1 Sc 0.0000 0.0000 0.0000
# Space group: Pm-3m
# Theoretical density: 4.3 g cm⁻³



The structure with the greatest stability is i.



i.
# ScCoCl3, relaxed, DFT GGA-PBE
data_ScCoCl3
_space_group_name_H-M_alt 'P 1'
_space_group_IT_number 1
_cell_length_a 4.7279
_cell_length_b 4.7279
_cell_length_c 4.7279
_cell_angle_alpha 90.00
_cell_angle_beta 90.00
_cell_angle_gamma 90.00
loop_
_space_group_symop_operation_xyz
'x,y,z'
loop_
_atom_site_label
_atom_site_type_symbol
_atom_site_fract_x
_atom_site_fract_y
_atom_site_fract_z
Cl1 Cl 0.5000 0.0000 0.0000
Co1 Co 0.0000 0.0000 0.0000
Cl2 Cl 0.0000 0.0000 0.5000
Sc1 Sc 0.5000 0.5000 0.5000
Cl3 Cl 0.0000 0.5000 0.0000
# Space group: Pm-3m
# Theoretical density: 3.3 g cm⁻³



ii.
# ScCoCl3, relaxed, DFT GGA-PBE
data_ScCoCl3
_space_group_name_H-M_alt 'P 1'
_space_group_IT_number 1
_cell_length_a 5.0360
_cell_length_b 5.0360
_cell_length_c 5.0360
_cell_angle_alpha 90.00
_cell_angle_beta 90.00
_cell_angle_gamma 90.00
loop_
_space_group_symop_operation_xyz
'x,y,z'
loop_
_atom_site_label
_atom_site_type_symbol
_atom_site_fract_x
_atom_site_fract_y
_atom_site_fract_z
Cl1 Cl 0.0000 0.0000 0.5000
Cl2 Cl 0.0000 0.5000 0.0000
Cl3 Cl 0.5000 0.0000 0.0000
Co1 Co 0.5000 0.5000 0.5000
Sc1 Sc 0.0000 0.0000 0.0000
# Space group: Pm-3m
# Theoretical density: 2.7 g cm⁻³



The structure with the greatest stability is ii.



i.
# CoSe3Cl, relaxed, DFT GGA-PBE
data_CoSe3Cl
_space_group_name_H-M_alt 'P 1'
_space_group_IT_number 1
_cell_length_a 4.9394
_cell_length_b 4.9394
_cell_length_c 4.9394
_cell_angle_alpha 90.00
_cell_angle_beta 90.00
_cell_angle_gamma 90.00
loop_
_space_group_symop_operation_xyz
'x,y,z'
loop_
_atom_site_label
_atom_site_type_symbol
_atom_site_fract_x
_atom_site_fract_y
_atom_site_fract_z
Se1 Se 0.5000 0.0000 0.0000
Se2 Se 0.0000 0.5000 0.0000
Se3 Se 0.0000 0.0000 0.5000
Co1 Co 0.5000 0.5000 0.5000
Cl1 Cl 0.0000 0.0000 0.0000
# Space group: Pm-3m
# Theoretical density: 4.6 g cm⁻³



ii.
# CoSe3Cl, relaxed, DFT GGA-PBE
data_CoSe3Cl
_space_group_name_H-M_alt 'P 1'
_space_group_IT_number 1
_cell_length_a 4.7301
_cell_length_b 4.7301
_cell_length_c 4.7301
_cell_angle_alpha 90.00
_cell_angle_beta 90.00
_cell_angle_gamma 90.00
loop_
_space_group_symop_operation_xyz
'x,y,z'
loop_
_atom_site_label
_atom_site_type_symbol
_atom_site_fract_x
_atom_site_fract_y
_atom_site_fract_z
Se1 Se 0.0000 0.5000 0.0000
Se2 Se 0.5000 0.0000 0.0000
Cl1 Cl 0.5000 0.5000 0.5000
Se3 Se 0.0000 0.0000 0.5000
Co1 Co 0.0000 0.0000 0.0000
# Space group: Pm-3m
# Theoretical density: 5.2 g cm⁻³



The structure with the greatest stability is ii.